{"formula": "Ac4AsIr2S", "functional": "PBE", "state": "relaxed", "volume_a3_per_atom": 30.254, "e_form_raw_ev_per_atom": -1.128, "magnetic_moment_mub_per_cell": 0.00, "lattice": [[-0.8406, -3.2627, 2.7869], [0.8485, -5.0011, -5.5990], [6.8600, 1.1470, 3.4120]], "species": ["Ac", "Ac", "Ac", "Ac", "Ir", "Ir", "S", "As"], "fractional_positions": [[0.5000, 0.2546, 0.2664], [0.0000, 0.2438, 0.7334], [0.5000, 0.7454, 0.7336], [0.0000, 0.7562, 0.2666], [0.5000, 0.0000, 0.5000], [0.0000, 0.5000, 0.5000], [0.0000, 0.0000, 0.0000], [0.5000, 0.5000, 0.0000]]}